Record 1
# Sr4SI6

A geometry-optimized Sr4SI6 structure (PBE, the Alexandria database).

Cell: 7.916 10.803 10.803 Å, 90.00 90.00 90.00°
Fractional coordinates of all 22 atoms:
I 0.000 0.794 0.206
Sr 0.339 0.000 0.244
I 0.000 0.206 0.794
Sr 0.339 0.000 0.756
S 0.500 0.000 0.000
Sr 0.661 0.244 0.000
I 0.612 0.000 0.500
I 0.000 0.794 0.794
I 0.000 0.206 0.206
Sr 0.661 0.756 0.000
I 0.500 0.294 0.294
I 0.500 0.294 0.706
Sr 0.839 0.256 0.500
I 0.888 0.500 0.000
S 0.000 0.500 0.500
I 0.500 0.706 0.294
I 0.112 0.000 0.500
Sr 0.161 0.500 0.744
Sr 0.839 0.744 0.500
Sr 0.161 0.500 0.256
I 0.500 0.706 0.706
I 0.388 0.500 0.000

Values from the calculation:
energy relative to the elements, uncorrected: -1725 meV per atom
crystal system: tetragonal
SG: P4_2/nmc, No. 137

Record 2
# TaAl3

A geometry-optimized TaAl3 structure (PBE, the Alexandria database).

Cell: 5.440 5.440 4.818 Å, 90.00 90.00 91.77°
Fractional coordinates of all 8 atoms:
Ta 0.412 0.588 0.250
Al 0.910 0.434 0.250
Al 0.930 0.070 0.750
Al 0.566 0.090 0.250
Al 0.070 0.930 0.250
Al 0.434 0.910 0.750
Ta 0.588 0.412 0.750
Al 0.090 0.566 0.750

Values from the calculation:
energy relative to the elements: 0.067 eV per atom
crystal system: orthorhombic
SG: Cmcm, No. 63

Record 3
# Pm4Te3Ir

A geometry-optimized Pm4Te3Ir structure (PBE, the Alexandria database).

Cell: 6.256 9.352 10.165 Å, 90.00 90.00 90.00°
Fractional coordinates of all 16 atoms:
Te 0.064 0.653 0.757
Pm 0.564 0.156 0.000
Pm 0.064 0.844 0.500
Pm 0.564 0.688 0.282
Pm 0.564 0.134 0.500
Pm 0.064 0.312 0.782
Pm 0.064 0.312 0.218
Te 0.564 0.347 0.743
Pm 0.064 0.866 0.000
Te 0.564 0.822 0.000
Ir 0.564 0.849 0.500
Pm 0.564 0.688 0.718
Te 0.064 0.653 0.243
Ir 0.064 0.151 0.000
Te 0.564 0.347 0.257
Te 0.064 0.178 0.500

Values from the calculation:
energy relative to the elements, uncorrected: -979 meV per atom
crystal system: orthorhombic
SG: Pmmn, No. 59

Record 4
# La2Pr8Al

A geometry-optimized La2Pr8Al structure (PBE, the Alexandria database).

Cell: 5.115 8.161 9.663 Å, 104.47 105.35 90.00°
Fractional coordinates of all 11 atoms:
Pr 0.958 0.264 0.917
Al 0.500 0.000 0.000
Pr 0.674 0.908 0.347
Pr 0.865 0.827 0.730
La 0.776 0.367 0.551
Pr 0.326 0.092 0.653
La 0.224 0.633 0.449
Pr 0.588 0.434 0.175
Pr 0.135 0.173 0.270
Pr 0.042 0.736 0.083
Pr 0.412 0.566 0.825

Values from the calculation:
energy relative to the elements: -0.018 eV per atom
crystal system: monoclinic
SG: C2/m, No. 12

Record 5
# Ac3ScZn2O9

A geometry-optimized Ac3ScZn2O9 structure (PBE, the Alexandria database).

Cell: 5.707 5.707 7.028 Å, 90.00 90.00 120.00°
Fractional coordinates of all 15 atoms:
Zn 0.333 0.667 0.168
O 0.000 0.500 0.000
Ac 0.000 0.000 0.000
O 0.500 0.000 0.000
O 0.500 0.500 0.000
Ac 0.667 0.333 0.322
Zn 0.667 0.333 0.832
Sc 0.000 0.000 0.500
O 0.334 0.167 0.671
O 0.666 0.833 0.329
O 0.167 0.334 0.329
Ac 0.333 0.667 0.678
O 0.833 0.167 0.671
O 0.833 0.666 0.671
O 0.167 0.833 0.329

Values from the calculation:
energy relative to the elements, uncorrected: -2549 meV per atom
crystal system: trigonal
SG: P-3m1, No. 164

Record 6
# LiReRu2

A geometry-optimized LiReRu2 structure (PBE, the Alexandria database).

Cell: 2.674 2.674 9.005 Å, 90.00 90.00 116.04°
Fractional coordinates of all 4 atoms:
Ru 0.000 0.000 0.503
Ru 0.000 0.000 0.997
Li 0.500 0.500 0.250
Re 0.500 0.500 0.750

Values from the calculation:
energy relative to the elements: 0.285 eV per atom
crystal system: orthorhombic
SG: Cmmm, No. 65

Q: What is the formula in the fourth record?
A: La2Pr8Al